(1)
Material: Zr2NbPbN
Method: DFT, PBE
State: optimized geometry

Output
* VASP energy: -42.095 eV/f.u.
* uncorrected formation energy: -0.579 eV per atom

```
Zr2NbPbN
1.0
4.689 0.000 0.000
0.000 4.689 0.000
0.000 0.000 4.166
N Nb Zr Pb
1 1 2 1
Cartesian
0.000 0.000 0.000
0.000 0.000 2.083
2.345 0.000 0.000
0.000 2.345 0.000
2.345 2.345 2.083
```

***

(2)
Material: NbPdN
Method: DFT, PBE
State: optimized geometry

Output
* VASP energy: -25.332 eV/f.u.
* uncorrected formation energy: -0.581 eV per atom
* distance to the lowest polymorph of the same formula: 0 meV/atom

```
NbPdN
1.0
2.905 0.000 0.000
0.000 5.231 0.000
0.000 0.000 5.409
Pd Nb N
2 2 2
Cartesian
1.453 3.022 0.978
1.453 2.209 3.682
0.000 0.715 0.599
0.000 4.516 3.303
1.453 0.176 4.556
1.453 5.056 1.851
```

***

What is the formula in the second record? NbPdN